1.
AcThOsAu: relaxed, PBE-GGA.

ΔE_f = -0.225 eV per atom

Unit cell a=5.2473 b=5.2473 c=5.2473 alpha=60.00 beta=60.00 gamma=60.00
Last column: nearest neighbours and their distance in Å.
Atoms (fractional coordinates):
1 Ac 0.0000 0.0000 0.0000  4 Os 3.21, 4 Au 3.21
2 Th 0.5000 0.5000 0.5000  4 Os 3.21, 4 Au 3.21
3 Os 0.7500 0.7500 0.7500  4 Ac 3.21, 4 Th 3.21
4 Au 0.2500 0.2500 0.2500  4 Ac 3.21, 4 Th 3.21

2.
Ac4S6Br: relaxed, PBE-GGA.

ΔE_f (raw) = -21.2 eV per formula unit

Unit cell a=9.0706 b=9.0706 c=4.2580 alpha=90.00 beta=90.00 gamma=120.00
Last column: nearest neighbours and their distance in Å.
Atoms (fractional coordinates):
1 Ac 0.0000 0.0000 0.0000  9 S 3.05-3.30
2 Ac 0.0188 0.5094 0.5000  6 S 2.92-3.10
3 Ac 0.4906 0.5094 0.5000  6 S 2.92-3.10
4 Ac 0.4906 0.9812 0.5000  6 S 2.92-3.10
5 S 0.2103 0.4206 0.0000  5 Ac 3.10-3.30, 2 S 3.35
6 S 0.2103 0.7897 0.0000  5 Ac 3.10-3.30, 2 S 3.35
7 S 0.2786 0.1393 0.5000  4 Ac 2.92-3.05
8 S 0.5794 0.7897 0.0000  5 Ac 3.10-3.30, 2 S 3.35
9 S 0.8607 0.1393 0.5000  4 Ac 2.92-3.05
10 S 0.8607 0.7214 0.5000  4 Ac 2.92-3.05
11 Br 0.6667 0.3333 0.0000  6 Ac 3.49, 6 S 3.72

3.
AcAg2Cl6: relaxed, PBE-GGA.

offset from the most stable computed form = 31 kJ/mol of formula units
ΔE_f (raw) = -11.1 eV per formula unit

Unit cell a=9.5692 b=9.5692 c=7.2574 alpha=103.73 beta=103.73 gamma=91.48
Last column: nearest neighbours and their distance in Å.
Atoms (fractional coordinates):
1 Ac 0.1013 0.8987 0.7500  6 Cl 2.87-2.94
2 Ac 0.8987 0.1013 0.2500  6 Cl 2.87-2.94
3 Ag 0.2920 0.4691 0.8504  3 Cl 2.42-2.55
4 Ag 0.4691 0.2920 0.3504  3 Cl 2.42-2.55
5 Ag 0.5309 0.7080 0.6496  3 Cl 2.42-2.55
6 Ag 0.7080 0.5309 0.1496  3 Cl 2.42-2.55
7 Cl 0.0625 0.1797 0.6553  2 Ac 2.89-2.94
8 Cl 0.0917 0.6210 0.8355  1 Ag 2.43
9 Cl 0.1797 0.0625 0.1553  2 Ac 2.89-2.94
10 Cl 0.3128 0.4513 0.5018  2 Ag 2.42-2.55
11 Cl 0.3790 0.9083 0.6645  1 Ag 2.43
12 Cl 0.4513 0.3128 0.0018  2 Ag 2.42-2.55
13 Cl 0.5487 0.6872 0.9982  2 Ag 2.42-2.55
14 Cl 0.6210 0.0917 0.3355  1 Ag 2.43
15 Cl 0.6872 0.5487 0.4982  2 Ag 2.42-2.55
16 Cl 0.8203 0.9375 0.8447  2 Ac 2.89-2.94
17 Cl 0.9083 0.3790 0.1645  1 Ag 2.43
18 Cl 0.9375 0.8203 0.3447  2 Ac 2.89-2.94

4.
SrTe6Pb5: relaxed, PBE-GGA.

ΔE_f (raw) = -7.5 eV per formula unit

Unit cell a=8.0726 b=8.0726 c=8.0656 alpha=99.61 beta=99.61 gamma=119.96
Last column: nearest neighbours and their distance in Å.
Atoms (fractional coordinates):
1 Sr 0.0000 0.0000 0.0000  6 Te 3.32-3.33
2 Te 0.0839 0.4210 0.2519  5 Pb 3.27-3.30, 1 Sr 3.33
3 Te 0.2533 0.2533 0.7488  5 Pb 3.27-3.29, 1 Sr 3.32
4 Te 0.4210 0.0839 0.2519  5 Pb 3.27-3.30, 1 Sr 3.33
5 Te 0.5790 0.9161 0.7481  5 Pb 3.27-3.30, 1 Sr 3.33
6 Te 0.7467 0.7467 0.2512  5 Pb 3.27-3.29, 1 Sr 3.32
7 Te 0.9161 0.5790 0.7481  5 Pb 3.27-3.30, 1 Sr 3.33
8 Pb 0.1658 0.8342 0.5000  6 Te 3.27-3.30
9 Pb 0.3334 0.6666 0.0000  6 Te 3.29
10 Pb 0.5000 0.5000 0.5000  6 Te 3.27-3.30
11 Pb 0.6666 0.3334 0.0000  6 Te 3.29
12 Pb 0.8342 0.1658 0.5000  6 Te 3.27-3.30

5.
K7Rb2O2: relaxed, PBE-GGA.

ΔE_f (raw) = -6.0 eV per formula unit

Unit cell a=13.1916 b=13.1916 c=5.3382 alpha=96.04 beta=96.04 gamma=138.97
Last column: nearest neighbours and their distance in Å.
Atoms (fractional coordinates):
1 K 0.0000 0.0000 0.0000  2 O 2.71
2 K 0.1850 0.3930 0.1292  1 O 2.58
3 K 0.3747 0.3747 0.6817  3 O 2.74-2.81
4 K 0.3930 0.1850 0.1292  1 O 2.58
5 K 0.6070 0.8150 0.8708  1 O 2.58
6 K 0.6253 0.6253 0.3183  3 O 2.74-2.81
7 K 0.8150 0.6070 0.8708  1 O 2.58
8 Rb 0.2286 0.7714 0.5000  2 Rb 4.74, 6 K 4.74-4.87
9 Rb 0.7714 0.2286 0.5000  2 Rb 4.74, 6 K 4.74-4.87
10 O 0.3067 0.3067 0.1464  6 K 2.58-2.81
11 O 0.6933 0.6933 0.8536  6 K 2.58-2.81

6.
NpV2Ga: relaxed, PBE-GGA.

ΔE_f = 0.184 eV per atom
offset from the most stable computed form = 51 kJ/mol of formula units

Unit cell a=3.2259 b=3.2259 c=6.0246 alpha=90.00 beta=90.00 gamma=90.00
Last column: nearest neighbours and their distance in Å.
Atoms (fractional coordinates):
1 Np 0.0000 0.0000 0.0000  8 V 2.68
2 V 0.5000 0.5000 0.2322  4 Np 2.68, 4 Ga 2.79, 1 V 2.80
3 V 0.5000 0.5000 0.7678  4 Np 2.68, 4 Ga 2.79, 1 V 2.80
4 Ga 0.0000 0.0000 0.5000  8 V 2.79, 2 Np 3.01

7.
TaFeNiIr: relaxed, PBE-GGA.

ΔE_f = -0.179 eV per atom
offset from the most stable computed form = 82 kJ/mol of formula units

Unit cell a=4.2863 b=4.2863 c=4.2863 alpha=60.00 beta=60.00 gamma=60.00
Last column: nearest neighbours and their distance in Å.
Atoms (fractional coordinates):
1 Ta 0.0000 0.0000 0.0000  4 Fe 2.62, 4 Ir 2.62
2 Fe 0.7500 0.7500 0.7500  4 Ni 2.62, 4 Ta 2.62
3 Ni 0.5000 0.5000 0.5000  4 Fe 2.62, 4 Ir 2.62
4 Ir 0.2500 0.2500 0.2500  4 Ta 2.62, 4 Ni 2.62

8.
Sr2FeOs: relaxed, PBE-GGA.

ΔE_f = 0.220 eV per atom
offset from the most stable computed form = 0 kJ/mol of formula units

Unit cell a=8.8654 b=8.8654 c=8.8654 alpha=26.26 beta=26.26 gamma=26.26
Last column: nearest neighbours and their distance in Å.
Atoms (fractional coordinates):
1 Sr 0.0000 0.0000 0.0000  3 Os 3.24, 3 Fe 3.27
2 Sr 0.1770 0.1770 0.1770  3 Fe 3.23, 3 Os 3.26
3 Fe 0.7561 0.7561 0.7561  3 Os 2.33
4 Os 0.4211 0.4211 0.4211  3 Fe 2.33

9.
LiReSb: relaxed, PBE-GGA.

offset from the most stable computed form = 0 kJ/mol of formula units
ΔE_f (raw) = 0.7 eV per formula unit

Unit cell a=4.8893 b=4.8893 c=4.8893 alpha=139.77 beta=139.77 gamma=58.20
Last column: nearest neighbours and their distance in Å.
Atoms (fractional coordinates):
1 Li 0.0000 0.0000 0.0000  5 Re 2.75-2.89, 5 Sb 2.79-2.80
2 Re 0.6621 0.6621 0.0000  5 Li 2.75-2.89, 5 Sb 2.76-2.86
3 Sb 0.3270 0.3270 0.0000  5 Re 2.76-2.86, 5 Li 2.79-2.80

10.
KTbCuBr5: relaxed, PBE-GGA.

ΔE_f (raw) = -11.4 eV per formula unit

Unit cell a=7.7296 b=7.7296 c=10.5241 alpha=103.63 beta=103.63 gamma=106.63
Last column: nearest neighbours and their distance in Å.
Atoms (fractional coordinates):
1 K 0.1442 0.8558 0.7500  5 Br 3.32-3.35
2 K 0.8558 0.1442 0.2500  5 Br 3.32-3.35
3 Tb 0.5000 0.5000 0.0000  6 Br 2.82-2.84
4 Tb 0.5000 0.5000 0.5000  6 Br 2.82-2.84
5 Cu 0.1897 0.8103 0.2500  4 Br 2.46-2.50
6 Cu 0.8103 0.1897 0.7500  4 Br 2.46-2.50
7 Br 0.1177 0.2567 0.9313  1 Cu 2.50
8 Br 0.1808 0.5872 0.3830  1 Cu 2.46
9 Br 0.2567 0.1177 0.4313  1 Cu 2.50
10 Br 0.4128 0.8192 0.1170  1 Cu 2.46
11 Br 0.4143 0.5857 0.7500  2 Tb 2.84
12 Br 0.5857 0.4143 0.2500  2 Tb 2.84
13 Br 0.5872 0.1808 0.8830  1 Cu 2.46
14 Br 0.7433 0.8823 0.5687  1 Cu 2.50
15 Br 0.8192 0.4128 0.6170  1 Cu 2.46
16 Br 0.8823 0.7433 0.0687  1 Cu 2.50

11.
SrCd2Au2: relaxed, PBE-GGA.

ΔE_f = -0.506 eV per atom
offset from the most stable computed form = 0 kJ/mol of formula units

Unit cell a=7.2446 b=7.2446 c=7.2446 alpha=144.89 beta=144.89 gamma=50.50
Last column: nearest neighbours and their distance in Å.
Atoms (fractional coordinates):
1 Sr 0.0000 0.0000 0.0000  8 Au 3.38
2 Cd 0.2500 0.7500 0.5000  4 Au 2.89, 4 Cd 3.09
3 Cd 0.7500 0.2500 0.5000  4 Au 2.89, 4 Cd 3.09
4 Au 0.3949 0.3949 0.0000  1 Au 2.76, 4 Cd 2.89
5 Au 0.6051 0.6051 0.0000  1 Au 2.76, 4 Cd 2.89

Values of size of the total moment, in order: 0.000 0.000 0.000 0.000 0.000 2.673 2.066 0.000 0.915 0.293 0.000, all in μB/cell.